[1]
The following is a DFT calculation (PBE) of a relaxed structure of Hf4PC2N.

formation energy (no corrections) = -0.655 eV per atom
density of states at the Fermi level = 4.95 states/eV/f.u.
theoretical density = 10.5 g/cm³
symmetry = I-42m
final energy = -9.654 eV per atom

Cell and atoms, written as POSCAR:
```
Hf4PC2N
1.0
-2.967 2.967 3.509
2.967 -2.967 3.509
2.967 2.967 -3.509
Hf P C N
4 1 2 1
direct
0.043 0.626 0.000
0.374 0.374 0.417
0.626 0.043 0.000
0.957 0.957 0.583
0.500 0.500 0.000
0.250 0.750 0.500
0.750 0.250 0.500
0.000 0.000 0.000
```


[2]
The following is a DFT calculation (PBE) of a relaxed structure of Hf2Pa3C2N4.

formation energy (no corrections) = -1.037 eV per atom
density of states at the Fermi level = 6.07 states/eV/f.u.
theoretical density = 11.3 g/cm³
symmetry = I4/mmm
final energy = -10.141 eV per atom

Cell and atoms, written as POSCAR:
```
Hf2Pa3C2N4
1.0
-1.923 1.923 11.237
1.923 -1.923 11.237
1.923 1.923 -11.237
Hf Pa C N
2 3 2 4
direct
0.097 0.097 0.000
0.903 0.903 0.000
0.302 0.302 0.000
0.500 0.500 0.000
0.698 0.698 0.000
0.197 0.197 0.000
0.803 0.803 0.000
0.062 0.562 0.500
0.438 0.938 0.500
0.562 0.062 0.500
0.938 0.438 0.500
```


[3]
The following is a DFT calculation (PBE) of a relaxed structure of HfPbCN2.

formation energy (no corrections) = 2.795 eV per atom
density of states at the Fermi level = 3.39 states/eV/f.u.
theoretical density = 7.0 g/cm³
symmetry = P4/mmm
final energy = -5.113 eV per atom

Cell and atoms, written as POSCAR:
```
HfPbCN2
1.0
3.973 0.000 0.000
0.000 3.973 0.000
0.000 0.000 6.377
Hf Pb C N
1 1 1 2
direct
0.000 0.000 0.000
0.000 0.000 0.500
0.500 0.500 0.000
0.000 0.500 0.500
0.500 0.000 0.500
```


[4]
The following is a DFT calculation (PBE) of a relaxed structure of Hf2RhCN.

formation energy (no corrections) = 1.286 eV per atom
density of states at the Fermi level = 3.46 states/eV/f.u.
theoretical density = 9.0 g/cm³
symmetry = P4/mmm
final energy = -7.676 eV per atom

Cell and atoms, written as POSCAR:
```
Hf2RhCN
1.0
4.972 0.000 0.000
0.000 4.972 0.000
0.000 0.000 3.625
Hf Rh C N
2 1 1 1
direct
0.000 0.500 0.000
0.500 0.000 0.000
0.000 0.000 0.000
0.500 0.500 0.500
0.000 0.000 0.500
```


[5]
The following is a DFT calculation (PBE) of a relaxed structure of HfCS2N.

formation energy (no corrections) = 0.860 eV per atom
density of states at the Fermi level = 2.21 states/eV/f.u.
theoretical density = 7.4 g/cm³
symmetry = P4/mmm
final energy = -6.292 eV per atom
offset from the most stable computed form = 0.000 eV per atom

Cell and atoms, written as POSCAR:
```
HfCS2N
1.0
4.016 0.000 0.000
0.000 4.016 0.000
0.000 0.000 3.752
Hf C S N
1 1 2 1
direct
0.000 0.000 0.000
0.500 0.500 0.500
0.000 0.500 0.500
0.500 0.000 0.500
0.500 0.500 0.000
```


[6]
The following is a DFT calculation (PBE) of a relaxed structure of HfCS2N.

formation energy (no corrections) = 1.350 eV per atom
density of states at the Fermi level = 3.67 states/eV/f.u.
theoretical density = 4.4 g/cm³
symmetry = P4/mmm
final energy = -5.801 eV per atom
offset from the most stable computed form = 0.491 eV per atom

Cell and atoms, written as POSCAR:
```
HfCS2N
1.0
4.982 0.000 0.000
0.000 4.982 0.000
0.000 0.000 4.108
Hf C S N
1 1 2 1
direct
0.000 0.000 0.000
0.500 0.500 0.500
0.000 0.500 0.000
0.500 0.000 0.000
0.000 0.000 0.500
```


[7]
The following is a DFT calculation (PBE) of a relaxed structure of HfCSeN2.

formation energy (no corrections) = 1.650 eV per atom
density of states at the Fermi level = 4.85 states/eV/f.u.
theoretical density = 5.5 g/cm³
symmetry = P4/mmm
final energy = -6.213 eV per atom
offset from the most stable computed form = 0.222 eV per atom

Cell and atoms, written as POSCAR:
```
HfCSeN2
1.0
4.015 0.000 0.000
0.000 4.015 0.000
0.000 0.000 5.607
Hf C Se N
1 1 1 2
direct
0.000 0.000 0.000
0.500 0.500 0.500
0.000 0.000 0.500
0.000 0.500 0.000
0.500 0.000 0.000
```


[8]
The following is a DFT calculation (PBE) of a relaxed structure of HfCSeN2.

formation energy (no corrections) = 1.428 eV per atom
density of states at the Fermi level = 3.41 states/eV/f.u.
theoretical density = 8.7 g/cm³
symmetry = P4/mmm
final energy = -6.434 eV per atom
offset from the most stable computed form = 0.000 eV per atom

Cell and atoms, written as POSCAR:
```
HfCSeN2
1.0
3.811 0.000 0.000
0.000 3.811 0.000
0.000 0.000 3.921
Hf C Se N
1 1 1 2
direct
0.000 0.000 0.000
0.500 0.500 0.500
0.500 0.500 0.000
0.000 0.500 0.500
0.500 0.000 0.500
```


[9]
The following is a DFT calculation (PBE) of a relaxed structure of Hf2SnCN.

formation energy (no corrections) = 0.745 eV per atom
density of states at the Fermi level = 4.01 states/eV/f.u.
theoretical density = 9.6 g/cm³
symmetry = P4/mmm
final energy = -7.547 eV per atom

Cell and atoms, written as POSCAR:
```
Hf2SnCN
1.0
4.291 0.000 0.000
0.000 4.291 0.000
0.000 0.000 4.704
Hf Sn C N
2 1 1 1
direct
0.000 0.500 0.000
0.500 0.000 0.000
0.000 0.000 0.500
0.500 0.500 0.500
0.000 0.000 0.000
```


[10]
The following is a DFT calculation (PBE) of a relaxed structure of HfSn2CN.

formation energy (no corrections) = 1.251 eV per atom
density of states at the Fermi level = 3.42 states/eV/f.u.
theoretical density = 7.8 g/cm³
symmetry = P4/mmm
final energy = -5.851 eV per atom

Cell and atoms, written as POSCAR:
```
HfSn2CN
1.0
4.654 0.000 0.000
0.000 4.654 0.000
0.000 0.000 4.352
Hf Sn C N
1 2 1 1
direct
0.000 0.000 0.000
0.000 0.500 0.500
0.500 0.000 0.500
0.000 0.000 0.500
0.500 0.500 0.000
```


[11]
The following is a DFT calculation (PBE) of a relaxed structure of Sr2HfCN.

formation energy (no corrections) = 1.283 eV per atom
density of states at the Fermi level = 5.22 states/eV/f.u.
theoretical density = 5.8 g/cm³
symmetry = P4/mmm
final energy = -4.891 eV per atom

Cell and atoms, written as POSCAR:
```
Sr2HfCN
1.0
5.874 0.000 0.000
0.000 5.874 0.000
0.000 0.000 3.164
Sr Hf C N
2 1 1 1
direct
0.000 0.500 0.000
0.500 0.000 0.000
0.000 0.000 0.500
0.500 0.500 0.500
0.500 0.500 0.000
```


[12]
The following is a DFT calculation (PBE) of a relaxed structure of SrHfCN2.

formation energy (no corrections) = 2.142 eV per atom
density of states at the Fermi level = 2.33 states/eV/f.u.
theoretical density = 6.6 g/cm³
symmetry = P4/mmm
final energy = -5.360 eV per atom

Cell and atoms, written as POSCAR:
```
SrHfCN2
1.0
4.237 0.000 0.000
0.000 4.237 0.000
0.000 0.000 4.292
Sr Hf C N
1 1 1 2
direct
0.000 0.000 0.000
0.500 0.500 0.500
0.000 0.000 0.500
0.000 0.500 0.000
0.500 0.000 0.000
```


[13]
The following is a DFT calculation (PBE) of a relaxed structure of HfTaCN.

formation energy (no corrections) = -1.115 eV per atom
density of states at the Fermi level = 0.93 states/eV/f.u.
theoretical density = 13.9 g/cm³
symmetry = R3m
final energy = -10.954 eV per atom
offset from the most stable computed form = 0.000 eV per atom

Cell and atoms, written as POSCAR:
```
HfTaCN
1.0
1.596 0.922 5.234
-1.596 0.922 5.234
0.000 -1.843 5.234
Hf Ta C N
1 1 1 1
direct
0.000 0.000 0.000
0.494 0.494 0.494
0.750 0.750 0.750
0.246 0.246 0.246
```


[14]
The following is a DFT calculation (PBE) of a relaxed structure of HfTaCN.

formation energy (no corrections) = -0.999 eV per atom
density of states at the Fermi level = 0.13 states/eV/f.u.
theoretical density = 13.6 g/cm³
symmetry = R3m
final energy = -10.838 eV per atom
offset from the most stable computed form = 0.116 eV per atom

Cell and atoms, written as POSCAR:
```
HfTaCN
1.0
1.574 0.909 5.473
-1.574 0.909 5.473
0.000 -1.818 5.473
Hf Ta C N
1 1 1 1
direct
0.000 0.000 0.000
0.175 0.175 0.175
0.424 0.424 0.424
0.590 0.590 0.590
```


[15]
The following is a DFT calculation (PBE) of a relaxed structure of HfTe2CN.

formation energy (no corrections) = 1.013 eV per atom
density of states at the Fermi level = 3.62 states/eV/f.u.
theoretical density = 7.7 g/cm³
symmetry = P4/mmm
final energy = -5.744 eV per atom
offset from the most stable computed form = 0.000 eV per atom

Cell and atoms, written as POSCAR:
```
HfTe2CN
1.0
6.058 0.000 0.000
0.000 6.058 0.000
0.000 0.000 2.685
Hf Te C N
1 2 1 1
direct
0.000 0.000 0.000
0.000 0.500 0.500
0.500 0.000 0.500
0.500 0.500 0.500
0.500 0.500 0.000
```


[16]
The following is a DFT calculation (PBE) of a relaxed structure of HfTe2CN.

formation energy (no corrections) = 1.371 eV per atom
density of states at the Fermi level = 4.61 states/eV/f.u.
theoretical density = 6.0 g/cm³
symmetry = P4/mmm
final energy = -5.387 eV per atom
offset from the most stable computed form = 0.357 eV per atom

Cell and atoms, written as POSCAR:
```
HfTe2CN
1.0
5.675 0.000 0.000
0.000 5.675 0.000
0.000 0.000 3.952
Hf Te C N
1 2 1 1
direct
0.000 0.000 0.000
0.000 0.500 0.000
0.500 0.000 0.000
0.500 0.500 0.500
0.000 0.000 0.500
```


[17]
The following is a DFT calculation (PBE) of a relaxed structure of HfTiCN.

formation energy (no corrections) = -1.319 eV per atom
density of states at the Fermi level = 1.94 states/eV/f.u.
theoretical density = 9.5 g/cm³
symmetry = R3m
final energy = -10.168 eV per atom
offset from the most stable computed form = 0.000 eV per atom

Cell and atoms, written as POSCAR:
```
HfTiCN
1.0
1.579 0.912 5.126
-1.579 0.912 5.126
0.000 -1.824 5.126
Hf Ti C N
1 1 1 1
direct
0.000 0.000 0.000
0.498 0.498 0.498
0.754 0.754 0.754
0.247 0.247 0.247
```


[18]
The following is a DFT calculation (PBE) of a relaxed structure of HfTiCN.

formation energy (no corrections) = -1.003 eV per atom
density of states at the Fermi level = 1.94 states/eV/f.u.
theoretical density = 9.1 g/cm³
symmetry = R3m
final energy = -9.852 eV per atom
offset from the most stable computed form = 0.316 eV per atom

Cell and atoms, written as POSCAR:
```
HfTiCN
1.0
1.571 0.907 5.361
-1.571 0.907 5.361
0.000 -1.814 5.361
Hf Ti C N
1 1 1 1
direct
0.000 0.000 0.000
0.174 0.174 0.174
0.425 0.425 0.425
0.589 0.589 0.589
```


[19]
The following is a DFT calculation (PBE) of a relaxed structure of Hf6ZnC3N2.

formation energy (no corrections) = -0.939 eV per atom
density of states at the Fermi level = 3.33 states/eV/f.u.
theoretical density = 12.5 g/cm³
symmetry = C2/m
final energy = -9.715 eV per atom

Cell and atoms, written as POSCAR:
```
Hf6ZnC3N2
1.0
7.273 -1.655 0.000
7.273 1.655 0.000
-1.466 0.000 6.632
Hf Zn C N
6 1 3 2
direct
0.003 0.003 0.283
0.322 0.322 0.906
0.332 0.332 0.412
0.668 0.668 0.588
0.678 0.678 0.094
0.997 0.997 0.717
0.500 0.500 0.000
0.168 0.168 0.833
0.500 0.500 0.500
0.832 0.832 0.167
0.172 0.172 0.343
0.828 0.828 0.657
```


[20]
The following is a DFT calculation (PBE) of a relaxed structure of HfZrCN.

formation energy (no corrections) = -1.353 eV per atom
density of states at the Fermi level = 1.61 states/eV/f.u.
theoretical density = 9.9 g/cm³
symmetry = R3m
final energy = -10.366 eV per atom
offset from the most stable computed form = 0.000 eV per atom

Cell and atoms, written as POSCAR:
```
HfZrCN
1.0
1.639 0.946 5.353
-1.639 0.946 5.353
0.000 -1.893 5.353
Hf Zr C N
1 1 1 1
direct
0.000 0.000 0.000
0.502 0.502 0.502
0.253 0.253 0.253
0.748 0.748 0.748
```


[21]
The following is a DFT calculation (PBE) of a relaxed structure of HfZrCN.

formation energy (no corrections) = -0.993 eV per atom
density of states at the Fermi level = 1.65 states/eV/f.u.
theoretical density = 9.6 g/cm³
symmetry = R3m
final energy = -10.006 eV per atom
offset from the most stable computed form = 0.360 eV per atom

Cell and atoms, written as POSCAR:
```
HfZrCN
1.0
1.623 0.937 5.605
-1.623 0.937 5.605
0.000 -1.875 5.605
Hf Zr C N
1 1 1 1
direct
0.000 0.000 0.000
0.826 0.826 0.826
0.249 0.249 0.249
0.417 0.417 0.417
```


[22]
The following is a DFT calculation (PBE) of a relaxed structure of NaHf3C.

density of states at the Fermi level = 4.53 states/eV/f.u.
theoretical density = 8.3 g/cm³
symmetry = Pm-3m
DFT formation energy = 13.96 eV/f.u.
final energy = -5.289 eV per atom
offset from the most stable computed form = 2.672 eV per atom

Cell and atoms, written as POSCAR:
```
NaHf3C
1.0
4.853 0.000 0.000
0.000 4.853 0.000
0.000 0.000 4.853
Na Hf C
1 3 1
direct
0.000 0.000 0.000
0.000 0.000 0.500
0.000 0.500 0.000
0.500 0.000 0.000
0.500 0.500 0.500
```


[23]
The following is a DFT calculation (PBE) of a relaxed structure of Na3HfC.

density of states at the Fermi level = 11.16 states/eV/f.u.
theoretical density = 1.9 g/cm³
symmetry = Pm-3m
DFT formation energy = 13.48 eV/f.u.
final energy = -1.932 eV per atom
offset from the most stable computed form = 1.125 eV per atom

Cell and atoms, written as POSCAR:
```
Na3HfC
1.0
6.063 0.000 0.000
0.000 6.063 0.000
0.000 0.000 6.063
Na Hf C
3 1 1
direct
0.000 0.000 0.500
0.000 0.500 0.000
0.500 0.000 0.000
0.000 0.000 0.000
0.500 0.500 0.500
```


[24]
The following is a DFT calculation (PBE) of a relaxed structure of Na2HfC.

density of states at the Fermi level = 2.00 states/eV/f.u.
theoretical density = 3.6 g/cm³
symmetry = I-42d
DFT formation energy = 3.32 eV/f.u.
final energy = -4.625 eV per atom

Cell and atoms, written as POSCAR:
```
Na2HfC
1.0
-5.073 5.073 2.105
5.073 -5.073 2.105
5.073 5.073 -2.105
Na Hf C
4 2 2
direct
0.375 0.224 0.349
0.776 0.125 0.151
0.875 0.026 0.651
0.974 0.625 0.849
0.250 0.750 0.500
0.500 0.500 0.000
0.000 0.000 0.000
0.750 0.250 0.500
```


[25]
The following is a DFT calculation (PBE) of a relaxed structure of Na3HfC.

density of states at the Fermi level = 3.65 states/eV/f.u.
theoretical density = 3.7 g/cm³
symmetry = Pm-3m
DFT formation energy = 7.85 eV/f.u.
final energy = -3.057 eV per atom
offset from the most stable computed form = 0.000 eV per atom

Cell and atoms, written as POSCAR:
```
Na3HfC
1.0
4.873 0.000 0.000
0.000 4.873 0.000
0.000 0.000 4.873
Na Hf C
3 1 1
direct
0.000 0.000 0.500
0.000 0.500 0.000
0.500 0.000 0.000
0.500 0.500 0.500
0.000 0.000 0.000
```


[26]
The following is a DFT calculation (PBE) of a relaxed structure of NaHfC3.

density of states at the Fermi level = 3.34 states/eV/f.u.
theoretical density = 4.8 g/cm³
symmetry = Pm-3m
DFT formation energy = 8.46 eV/f.u.
final energy = -6.098 eV per atom

Cell and atoms, written as POSCAR:
```
NaHfC3
1.0
4.352 0.000 0.000
0.000 4.352 0.000
0.000 0.000 4.352
Na Hf C
1 1 3
direct
0.000 0.000 0.000
0.500 0.500 0.500
0.000 0.500 0.500
0.500 0.000 0.500
0.500 0.500 0.000
```


[27]
The following is a DFT calculation (PBE) of a relaxed structure of NaHf3C.

density of states at the Fermi level = 4.78 states/eV/f.u.
theoretical density = 9.8 g/cm³
symmetry = Pm-3m
DFT formation energy = 0.60 eV/f.u.
final energy = -7.961 eV per atom
offset from the most stable computed form = 0.000 eV per atom

Cell and atoms, written as POSCAR:
```
NaHf3C
1.0
4.587 0.000 0.000
0.000 4.587 0.000
0.000 0.000 4.587
Na Hf C
1 3 1
direct
0.000 0.000 0.000
0.000 0.500 0.500
0.500 0.000 0.500
0.500 0.500 0.000
0.500 0.500 0.500
```


[28]
The following is a DFT calculation (PBE) of a relaxed structure of NaHfNiC2.

density of states at the Fermi level = 3.85 states/eV/f.u.
theoretical density = 7.6 g/cm³
symmetry = P4/mmm
DFT formation energy = 7.65 eV/f.u.
final energy = -5.571 eV per atom

Cell and atoms, written as POSCAR:
```
NaHfNiC2
1.0
3.906 0.000 0.000
0.000 3.906 0.000
0.000 0.000 4.067
Na Hf Ni C
1 1 1 2
direct
0.000 0.000 0.000
0.500 0.500 0.000
0.000 0.000 0.500
0.000 0.500 0.500
0.500 0.000 0.500
```